Record 1
Here is a geometry-optimized MnSe2I structure from Alexandria via LeMat-Bulk. Energies are from GGA-PBE.

a = 10.300 Å, b = 3.128 Å, c = 15.982 Å
α = 90.00°, β = 90.00°, γ = 90.00°
Site moments in Bohr magnetons follow the coordinates.
Positions (direct):
I: 0.069 0.250 0.632  -0.04
I: 0.431 0.750 0.132  -0.04
I: 0.931 0.750 0.368  -0.04
I: 0.569 0.250 0.868  -0.04
Mn: 0.523 0.250 0.432  1.49
Mn: 0.977 0.750 0.932  1.49
Mn: 0.477 0.750 0.568  1.49
Mn: 0.023 0.250 0.068  1.49
Se: 0.650 0.250 0.552  -0.12
Se: 0.850 0.750 0.052  -0.12
Se: 0.350 0.750 0.448  -0.12
Se: 0.150 0.250 0.948  -0.12
Se: 0.387 0.250 0.661  -0.15
Se: 0.113 0.750 0.161  -0.15
Se: 0.613 0.750 0.339  -0.15
Se: 0.887 0.250 0.839  -0.15

## Properties
Symmetry: Pnma (62)
Offset from the most stable computed form, meV per atom: 81
ρ, kg/m3: 4383
Crystal system: orthorhombic
Energy relative to the elements, uncorrected, eV/atom: -0.197

Record 2
Here is a geometry-optimized MnSe2I structure from Alexandria via LeMat-Bulk. Energies are from GGA-PBE.

a = 13.909 Å, b = 13.909 Å, c = 13.909 Å
α = 13.08°, β = 13.08°, γ = 13.08°
Site moments in Bohr magnetons follow the coordinates.
Positions (direct):
I: 0.500 0.500 0.500  0.00
Mn: 0.000 0.000 0.000  3.64
Se: 0.943 0.943 0.943  -0.12
Se: 0.057 0.057 0.057  -0.12

## Properties
Symmetry: R-3m (166)
Offset from the most stable computed form, meV per atom: 684
ρ, kg/m3: 4704
Crystal system: trigonal
Energy relative to the elements, uncorrected, eV/atom: 0.405

Record 3
Here is a geometry-optimized MnSe2I structure from Alexandria via LeMat-Bulk. Energies are from GGA-PBE.

a = 13.103 Å, b = 6.456 Å, c = 6.456 Å
α = 76.40°, β = 124.92°, γ = 55.08°
Site moments in Bohr magnetons follow the coordinates.
Positions (direct):
I: 0.085 0.701 0.532  -0.10
I: 0.585 0.968 0.799  -0.10
Mn: 0.309 0.085 0.218  2.92
Mn: 0.809 0.282 0.415  2.92
Se: 0.400 0.734 0.733  -0.18
Se: 0.900 0.767 0.766  -0.18
Se: 0.223 0.897 0.985  -0.27
Se: 0.723 0.515 0.603  -0.27

## Properties
Symmetry: Cc (9)
Offset from the most stable computed form, meV per atom: 180
ρ, kg/m3: 5615
Crystal system: monoclinic
Energy relative to the elements, uncorrected, eV/atom: -0.099

Record 4
Here is a geometry-optimized MnSe2I structure from Alexandria via LeMat-Bulk. Energies are from GGA-PBE.

a = 4.090 Å, b = 4.090 Å, c = 8.358 Å
α = 90.00°, β = 90.00°, γ = 120.00°
Site moments in Bohr magnetons follow the coordinates.
Positions (direct):
I: 0.000 0.000 0.953  -0.39
Mn: 0.333 0.667 0.442  3.06
Se: 0.333 0.667 0.701  -0.42
Se: 0.667 0.333 0.359  -0.11

## Properties
Symmetry: P3m1 (156)
Offset from the most stable computed form, meV per atom: 317
ρ, kg/m3: 4660
Crystal system: trigonal
Energy relative to the elements, uncorrected, eV/atom: 0.038

Record 5
Here is a geometry-optimized MnSe2I structure from Alexandria via LeMat-Bulk. Energies are from GGA-PBE.

a = 17.873 Å, b = 6.728 Å, c = 7.929 Å
α = 90.00°, β = 152.57°, γ = 90.00°
Site moments in Bohr magnetons follow the coordinates.
Positions (direct):
I: 0.489 0.000 0.228  0.06
I: 0.511 0.000 0.772  0.06
I: 0.011 0.500 0.272  0.06
I: 0.989 0.500 0.728  0.06
Mn: 0.250 0.250 0.250  3.82
Mn: 0.750 0.750 0.750  3.82
Mn: 0.250 0.750 0.250  3.83
Mn: 0.750 0.250 0.750  3.83
Se: 0.856 0.000 0.728  -0.07
Se: 0.144 0.000 0.272  -0.07
Se: 0.644 0.500 0.772  -0.07
Se: 0.356 0.500 0.228  -0.07
Se: 0.144 0.000 0.803  -0.07
Se: 0.856 0.000 0.197  -0.07
Se: 0.356 0.500 0.697  -0.07
Se: 0.644 0.500 0.303  -0.07

## Properties
Symmetry: Imma (74)
Offset from the most stable computed form, meV per atom: 40
ρ, kg/m3: 5138
Crystal system: orthorhombic
Energy relative to the elements, uncorrected, eV/atom: -0.239

Record 6
Here is a geometry-optimized MnSe2I structure from Alexandria via LeMat-Bulk. Energies are from GGA-PBE.

a = 10.987 Å, b = 3.487 Å, c = 3.487 Å
α = 121.57°, β = 98.05°, γ = 81.95°
Site moments in Bohr magnetons follow the coordinates.
Positions (direct):
I: 0.000 0.000 0.000  0.00
Mn: 0.500 0.500 0.500  2.92
Se: 0.634 0.791 0.209  -0.09
Se: 0.366 0.209 0.791  -0.09

## Properties
Symmetry: C2/m (12)
Offset from the most stable computed form, meV per atom: 0
ρ, kg/m3: 5020
Crystal system: monoclinic
Energy relative to the elements, uncorrected, eV/atom: -0.279

Record 7
Here is a geometry-optimized MnSe2I structure from Alexandria via LeMat-Bulk. Energies are from GGA-PBE.

a = 11.352 Å, b = 7.669 Å, c = 7.669 Å
α = 68.11°, β = 120.15°, γ = 59.85°
Positions (direct):
I: 0.750 0.865 0.365
I: 0.250 0.135 0.635
Mn: 0.750 0.251 0.751
Mn: 0.250 0.749 0.249
Se: 0.932 0.321 0.897
Se: 0.568 0.397 0.821
Se: 0.068 0.679 0.103
Se: 0.432 0.603 0.179

## Properties
Symmetry: C2/c (15)
Offset from the most stable computed form, meV per atom: 77
ρ, kg/m3: 4119
Crystal system: monoclinic
Energy relative to the elements, uncorrected, eV/atom: -0.202

Record 8
Here is a geometry-optimized MnSe2I structure from Alexandria via LeMat-Bulk. Energies are from GGA-PBE.

a = 3.334 Å, b = 3.334 Å, c = 11.509 Å
α = 90.00°, β = 90.00°, γ = 120.00°
Site moments in Bohr magnetons follow the coordinates.
Positions (direct):
I: 0.333 0.667 0.472  0.03
Mn: 0.000 0.000 0.994  -0.15
Se: 0.333 0.667 0.867  0.02
Se: 0.667 0.333 0.122  0.02

## Properties
Symmetry: P3m1 (156)
Offset from the most stable computed form, meV per atom: 202
ρ, kg/m3: 5092
Crystal system: trigonal
Energy relative to the elements, uncorrected, eV/atom: -0.076

Record 9
Here is a geometry-optimized Mn3SeI structure from Alexandria via LeMat-Bulk. Energies are from GGA-PBE.

a = 4.701 Å, b = 4.701 Å, c = 4.701 Å
α = 90.00°, β = 90.00°, γ = 90.00°
Site moments in Bohr magnetons follow the coordinates.
Positions (direct):
I: 0.000 0.000 0.000  0.04
Mn: 0.000 0.500 0.000  -0.66
Mn: 0.000 0.000 0.500  -0.68
Mn: 0.500 0.000 0.000  -0.69
Se: 0.500 0.500 0.500  -0.12

## Properties
Symmetry: Pm-3m (221)
Offset from the most stable computed form, meV per atom: 1367
ρ, kg/m3: 5925
Crystal system: cubic
Energy relative to the elements, uncorrected, eV/atom: 1.905

Record 10
Here is a geometry-optimized MnSe2I2 structure from Alexandria via LeMat-Bulk. Energies are from GGA-PBE.

a = 6.339 Å, b = 6.339 Å, c = 8.891 Å
α = 90.00°, β = 90.00°, γ = 90.00°
Site moments in Bohr magnetons follow the coordinates.
Positions (direct):
I: 0.165 0.665 0.500  0.02
I: 0.665 0.835 0.500  0.00
I: 0.835 0.335 0.500  0.02
I: 0.335 0.165 0.500  0.00
Mn: 0.000 0.000 0.000  3.50
Mn: 0.500 0.500 0.000  3.52
Se: 0.356 0.856 0.000  -0.06
Se: 0.856 0.644 0.000  -0.07
Se: 0.644 0.144 0.000  -0.06
Se: 0.144 0.356 0.000  -0.07

## Properties
Symmetry: P4/mbm (127)
ρ, kg/m3: 4339
Crystal system: tetragonal
Energy relative to the elements, uncorrected, eV/atom: 0.043

Record 11
Here is a geometry-optimized MnSe2I structure from Alexandria via LeMat-Bulk. Energies are from GGA-PBE.

a = 18.720 Å, b = 4.336 Å, c = 8.244 Å
α = 90.00°, β = 136.13°, γ = 90.00°
Site moments in Bohr magnetons follow the coordinates.
Positions (direct):
I: 0.241 0.062 0.036  0.02
I: 0.759 0.938 0.964  0.02
I: 0.259 0.562 0.464  0.02
I: 0.741 0.438 0.536  0.02
Mn: 0.600 0.168 0.511  3.86
Mn: 0.400 0.832 0.489  3.86
Mn: 0.900 0.668 0.989  3.88
Mn: 0.100 0.332 0.011  3.88
Se: 0.984 0.826 0.844  -0.05
Se: 0.016 0.174 0.156  -0.05
Se: 0.516 0.326 0.656  -0.05
Se: 0.484 0.674 0.344  -0.05
Se: 0.031 0.642 0.441  -0.04
Se: 0.969 0.358 0.559  -0.04
Se: 0.469 0.142 0.059  -0.08
Se: 0.531 0.858 0.941  -0.08

## Properties
Symmetry: P2_1/c (14)
Offset from the most stable computed form, meV per atom: 95
ρ, kg/m3: 4867
Crystal system: monoclinic
Energy relative to the elements, uncorrected, eV/atom: -0.183

Record 12
Here is a geometry-optimized MnSe2I structure from Alexandria via LeMat-Bulk. Energies are from GGA-PBE.

a = 5.243 Å, b = 6.917 Å, c = 9.074 Å
α = 79.30°, β = 72.86°, γ = 67.73°
Positions (direct):
I: 0.343 0.086 0.913
I: 0.588 0.921 0.586
Mn: 0.714 0.504 0.249
Mn: 0.217 0.503 0.249
Se: 0.394 0.436 0.455
Se: 0.119 0.222 0.225
Se: 0.537 0.571 0.043
Se: 0.812 0.785 0.274

## Properties
Symmetry: P-1 (2)
Offset from the most stable computed form, meV per atom: 70
ρ, kg/m3: 3892
Crystal system: triclinic
Energy relative to the elements, uncorrected, eV/atom: -0.209

Here are the calculated total energy numbers, same order: -4.62, -4.02, -4.52, -4.38, -4.66, -4.70, -4.62, -4.50, -4.60, -3.81, -4.61, -4.63 (eV per atom).